# NaAc2N8

Crystalline NaAc2N8 at its relaxed geometry (GGA-PBE, Alexandria).

M_tot in μB/atom: 0.000
Calculated density in g/cm³: 4.79
E_form (uncorrected) in meV per atom: -361

The structure in CIF format:
```
data_NaAc2N8
_chemical_formula_sum 'Na2 Ac4 N16'
_symmetry_space_group_name_H-M 'C 1 2/m 1'
_symmetry_Int_Tables_number 12
_cell_length_a 21.779
_cell_length_b 4.292
_cell_length_c 4.457
_cell_angle_alpha 90.00
_cell_angle_beta 101.35
_cell_angle_gamma 90.00
loop_
_symmetry_equiv_pos_as_xyz
'x,y,z'
'-x,-y,-z'
'-x,y,-z'
'x,-y,z'
'x+1/2,y+1/2,z'
'-x+1/2,-y+1/2,-z'
'-x+1/2,y+1/2,-z'
'x+1/2,-y+1/2,z'
loop_
_atom_site_label
_atom_site_type_symbol
_atom_site_fract_x
_atom_site_fract_y
_atom_site_fract_z
Na1 Na 0.000 0.000 0.000
Ac1 Ac 0.196 0.500 0.198
N1 N 0.000 0.500 0.371
N2 N 0.098 0.000 0.726
N3 N 0.099 0.000 0.470
N4 N 0.246 0.500 0.746
```